Material: Y2AgTe6Pb3
Method: DFT, GGA-PBE
State: relaxed

Cell lengths 19.8791, 4.4233, 9.1035 Å; angles 90.00, 102.92, 90.00 degrees
Space group C2/m (No. 12)
Symmetry-distinct sites (fractional):
Y 0.1675 0.0000 0.3437 (multiplicity 4)
Ag 0.0000 0.5000 0.0000 (multiplicity 2)
Te 0.0104 0.0000 0.2313 (multiplicity 4)
Te 0.1699 0.5000 0.5837 (multiplicity 4)
Te 0.1767 0.5000 0.1085 (multiplicity 4)
Pb 0.0000 0.5000 0.5000 (multiplicity 2)
Pb 0.1567 0.0000 0.8490 (multiplicity 4)

- crystal system = monoclinic
- uncorrected formation energy (eV/f.u.) = -8.0
- ρ (g/cm3) = 7.1